No. 1
Compound: ErTh3Tl4
Source: the Alexandria database
Functional: GGA-PBE
Structure: relaxed

As for the calculated volume: 232 Å³/f.u. As for the energy above the most stable polymorph in this dataset: 0.075 eV/atom. Its total energy is -4.647 eV/atom. For the formation energy, the calculation gives -111 meV per atom. As for the crystal system: orthorhombic.

It has space group Pmna (No. 53), with a = 9.833 Å, b = 6.905 Å, c = 6.820 Å, α = 90.00°, β = 90.00° and γ = 90.00°. Symmetry generates all atoms from Er at (0.000, 0.000, 0.000), Th at (0.000, 0.500, 0.000), Th at (0.250, 0.265, 0.250), Tl at (0.000, 0.000, 0.500), Tl at (0.000, 0.500, 0.500) and Tl at (0.250, 0.237, 0.750).



No. 2
Compound: LaSbMo4
Source: the Alexandria database
Functional: GGA-PBE
Structure: relaxed

As for the calculated volume: 118 Å³/f.u. The value obtained for the raw formation energy is 333 meV/atom. Its total energy is -8.396 eV/atom. As for the crystal system: cubic.

It has space group F-43m (No. 216), with a = 7.788 Å, b = 7.788 Å, c = 7.788 Å, α = 90.00°, β = 90.00° and γ = 90.00°. Symmetry generates all atoms from La at (0.000, 0.000, 0.000), Sb at (0.250, 0.250, 0.250) and Mo at (0.124, 0.124, 0.624).